Record 1
A relaxed NaCeO2F crystal, computed with PBE.

Values from the calculation:
- symmetry = Cmcm (63)
- total magnetization (μB/atom) = 0.0000

Lattice parameters (Å, degrees): 6.0931 6.0931 7.0389 90.00 90.00 148.02
Sites, in units of the cell vectors:
Na (0.0000, 0.0000, 0.0000)
Na (0.0000, 0.0000, 0.5000)
Ce (0.2435, 0.7565, 0.7500)
Ce (0.7565, 0.2435, 0.2500)
O (0.3366, 0.6634, 0.0651)
O (0.3366, 0.6634, 0.4349)
O (0.6634, 0.3366, 0.5651)
O (0.6634, 0.3366, 0.9349)
F (0.1067, 0.8933, 0.2500)
F (0.8933, 0.1067, 0.7500)

***

Record 2
A relaxed Na2CePuF8 crystal, computed with PBE.

Values from the calculation:
- symmetry = I-4 (82)
- total magnetization (μB/atom) = 0.5000

Lattice parameters (Å, degrees): 6.8996 6.8996 6.8996 131.72 131.72 70.67
Sites, in units of the cell vectors:
Na (0.0000, 0.0000, 0.0000)
Na (0.7500, 0.2500, 0.5000)
Ce (0.2500, 0.7500, 0.5000)
Pu (0.5000, 0.5000, 0.0000)
F (0.1364, 0.6240, 0.0124)
F (0.1375, 0.1232, 0.5107)
F (0.3732, 0.8625, 0.9858)
F (0.3760, 0.3884, 0.5124)
F (0.6116, 0.1241, 0.9876)
F (0.6126, 0.6268, 0.4893)
F (0.8759, 0.8636, 0.4876)
F (0.8768, 0.3874, 0.0142)

***

Record 3
A relaxed Rb3Na2CeF9 crystal, computed with PBE.

Values from the calculation:
- symmetry = P-3m1 (164)
- total magnetization (μB/atom) = 0.0043

Lattice parameters (Å, degrees): 6.3400 6.3400 8.1884 90.00 90.00 120.00
Sites, in units of the cell vectors:
Rb (0.0000, 0.0000, 0.0000)
Rb (0.3333, 0.6667, 0.7513)
Rb (0.6667, 0.3333, 0.2487)
Na (0.3333, 0.6667, 0.1586)
Na (0.6667, 0.3333, 0.8414)
Ce (0.0000, 0.0000, 0.5000)
F (0.0000, 0.5000, 0.0000)
F (0.1588, 0.3176, 0.3414)
F (0.1588, 0.8412, 0.3414)
F (0.3176, 0.1588, 0.6586)
F (0.5000, 0.0000, 0.0000)
F (0.5000, 0.5000, 0.0000)
F (0.6824, 0.8412, 0.3414)
F (0.8412, 0.1588, 0.6586)
F (0.8412, 0.6824, 0.6586)

***

Record 4
A relaxed RbNa2CeF8 crystal, computed with PBE.

Values from the calculation:
- symmetry = P-3m1 (164)
- total magnetization (μB/atom) = 0.0836

Lattice parameters (Å, degrees): 6.4964 6.4964 7.7433 90.00 90.00 120.00
Sites, in units of the cell vectors:
Rb (0.0000, 0.0000, 0.0000)
Na (0.3333, 0.6667, 0.2358)
Na (0.6667, 0.3333, 0.7642)
Ce (0.0000, 0.0000, 0.5000)
F (0.1491, 0.2981, 0.3217)
F (0.1491, 0.8509, 0.3217)
F (0.2981, 0.1491, 0.6783)
F (0.3333, 0.6667, 0.9498)
F (0.6667, 0.3333, 0.0502)
F (0.7019, 0.8509, 0.3217)
F (0.8509, 0.1491, 0.6783)
F (0.8509, 0.7019, 0.6783)

***

Record 5
A relaxed RbNaCeF6 crystal, computed with PBE.

Values from the calculation:
- symmetry = P-31c (163)
- total magnetization (μB/atom) = 0.0005

Lattice parameters (Å, degrees): 6.1586 6.1586 11.3754 90.00 90.00 120.00
Sites, in units of the cell vectors:
Rb (0.0000, 0.0000, 0.0000)
Rb (0.0000, 0.0000, 0.5000)
Na (0.3333, 0.6667, 0.2500)
Na (0.6667, 0.3333, 0.7500)
Ce (0.3333, 0.6667, 0.7500)
Ce (0.6667, 0.3333, 0.2500)
F (0.0218, 0.3840, 0.6474)
F (0.0218, 0.6378, 0.8526)
F (0.3622, 0.3840, 0.8526)
F (0.3622, 0.9782, 0.6474)
F (0.3840, 0.0218, 0.1474)
F (0.3840, 0.3622, 0.3526)
F (0.6160, 0.6378, 0.6474)
F (0.6160, 0.9782, 0.8526)
F (0.6378, 0.0218, 0.3526)
F (0.6378, 0.6160, 0.1474)
F (0.9782, 0.3622, 0.1474)
F (0.9782, 0.6160, 0.3526)

***

Record 6
A relaxed Na2CeScF8 crystal, computed with PBE.

Values from the calculation:
- symmetry = P2/m (10)
- total magnetization (μB/atom) = 0.0833

Lattice parameters (Å, degrees): 3.8347 7.6109 5.5637 90.00 90.12 90.00
Sites, in units of the cell vectors:
Na (0.0000, 0.2283, 0.0000)
Na (0.0000, 0.7717, 0.0000)
Ce (0.5000, 0.5000, 0.5000)
Sc (0.5000, 0.0000, 0.5000)
F (0.0000, 0.5000, 0.2515)
F (0.0000, 0.5000, 0.7485)
F (0.0028, 0.0000, 0.2863)
F (0.4978, 0.2277, 0.7276)
F (0.4978, 0.7723, 0.7276)
F (0.5022, 0.2277, 0.2724)
F (0.5022, 0.7723, 0.2724)
F (0.9972, 0.0000, 0.7137)

***

Record 7
A relaxed NaSr2CeF8 crystal, computed with PBE.

Values from the calculation:
- symmetry = I-4m2 (119)
- total magnetization (μB/atom) = 0.0833

Lattice parameters (Å, degrees): 7.0737 7.0737 7.0737 131.82 131.82 70.51
Sites, in units of the cell vectors:
Na (0.0000, 0.0000, 0.0000)
Sr (0.2500, 0.7500, 0.5000)
Sr (0.5000, 0.5000, 0.0000)
Ce (0.7500, 0.2500, 0.5000)
F (0.1151, 0.1295, 0.5031)
F (0.1151, 0.6120, 0.9856)
F (0.3880, 0.3736, 0.5031)
F (0.3880, 0.8849, 0.0144)
F (0.6264, 0.1295, 0.0144)
F (0.6264, 0.6120, 0.4969)
F (0.8705, 0.3736, 0.9856)
F (0.8705, 0.8849, 0.4969)

***

Record 8
A relaxed NaSrCeF6 crystal, computed with PBE.

Values from the calculation:
- symmetry = P-31c (163)
- total magnetization (μB/atom) = 0.1112

Lattice parameters (Å, degrees): 6.0620 6.0620 10.2587 90.00 90.00 120.00
Sites, in units of the cell vectors:
Na (0.3333, 0.6667, 0.2500)
Na (0.6667, 0.3333, 0.7500)
Sr (0.0000, 0.0000, 0.0000)
Sr (0.0000, 0.0000, 0.5000)
Ce (0.3333, 0.6667, 0.7500)
Ce (0.6667, 0.3333, 0.2500)
F (0.0057, 0.3399, 0.6340)
F (0.0057, 0.6659, 0.8660)
F (0.3341, 0.3399, 0.8660)
F (0.3341, 0.9943, 0.6340)
F (0.3399, 0.0057, 0.1340)
F (0.3399, 0.3341, 0.3660)
F (0.6601, 0.6659, 0.6340)
F (0.6601, 0.9943, 0.8660)
F (0.6659, 0.0057, 0.3660)
F (0.6659, 0.6601, 0.1340)
F (0.9943, 0.3341, 0.1340)
F (0.9943, 0.6601, 0.3660)

***

For the records above, the corresponding DFT total energy values read -33.65 -79.69 -74.64 -58.87 -49.73 -72.38 -70.82 -53.00 eV per formula unit.
For the records above, the corresponding energy relative to the elements, uncorrected values read -14.61 -41.81 -46.33 -34.36 -30.28 -42.51 -45.24 -32.84 eV per formula unit.